Computed, not measured: a relaxed structure of Sr2Ag2Sn at the PBE-GGA level of DFT.

a = 3.956 Å, b = 3.956 Å, c = 10.059 Å
α = 78.66°, β = 78.66°, γ = 90.00°
Positions (direct):
Sr  0.391  0.391  0.217
Sr  0.609  0.609  0.783
Sn  0.000  0.000  0.000
Ag  0.750  0.250  0.500
Ag  0.250  0.750  0.500

## Properties
- Offset from the most stable computed form: 142 meV/atom
- Symmetry: I4/mmm, No. 139
- Energy: -2.926 eV per atom
- Formation energy: -0.312 eV per atom
- N(E_F): 2.1 states/eV/cell



Computed, not measured: a relaxed structure of SrMgCd2Au at the PBE-GGA level of DFT.

a = 4.165 Å, b = 4.662 Å, c = 7.352 Å
α = 108.49°, β = 106.45°, γ = 90.00°
Positions (direct):
Sr  0.429  0.429  0.859
Mg  0.194  0.694  0.389
Cd  0.705  0.205  0.410
Cd  0.048  0.048  0.096
Au  0.836  0.836  0.671

## Properties
- Symmetry: Imm2, No. 44
- Energy: -2.100 eV per atom
- Formation energy: -0.423 eV per atom
- N(E_F): 2.9 states/eV/cell